(1)
Density functional theory data (GGA+U) for a relaxed structure of AcNiB2O6.

```
AcNiB2O6
1.0
6.822 -0.148 0.047
-0.982 6.752 0.047
-1.620 -1.832 5.702
Ac Ni B O
2 2 4 12
direct
0.125 0.875 0.250
0.875 0.125 0.750
0.668 0.332 0.250
0.332 0.668 0.750
0.421 0.086 0.798
0.914 0.579 0.702
0.579 0.914 0.202
0.086 0.421 0.298
0.917 0.514 0.258
0.486 0.083 0.242
0.083 0.486 0.742
0.514 0.917 0.758
0.070 0.219 0.184
0.781 0.930 0.316
0.930 0.781 0.816
0.219 0.070 0.684
0.273 0.568 0.432
0.432 0.727 0.068
0.727 0.432 0.568
0.568 0.273 0.932
```

## Properties
volume	13.15	Å³/atom
crystal system	monoclinic
total energy	-143.64	eV/cell

=====

(2)
Density functional theory data (GGA+U) for a relaxed structure of AcNi2B2O6.

```
AcNi2B2O6
1.0
5.210 0.000 0.000
-2.605 4.512 0.000
0.000 0.000 6.351
Ac Ni B O
1 2 2 6
direct
0.000 0.000 0.000
0.333 0.667 0.338
0.667 0.333 0.662
0.333 0.667 0.751
0.667 0.333 0.249
0.352 0.410 0.756
0.058 0.648 0.756
0.590 0.942 0.756
0.648 0.590 0.244
0.942 0.352 0.244
0.410 0.058 0.244
```

## Properties
volume	13.57	Å³/atom
density of states at the Fermi level	0.6153	states/eV/atom
crystal system	trigonal
total energy	-74.05	eV/cell